Sm4Bi2PS | the Alexandria database | GGA-PBE | optimized geometry; V = 28.2 A^3/atom; raw formation energy = -1.33 eV per atom; total magnetic moment = 0.000 μB per cell
1.0
7.4003 0.0000 0.0000
0.0000 4.2775 0.0000
-2.4631 0.0000 7.1388
Sm Bi P S
4 2 1 1
Direct
0.2370 0.0000 0.2202 Sm
0.2558 0.5000 0.7784 Sm
0.7442 0.5000 0.2216 Sm
0.7630 0.0000 0.7798 Sm
0.0000 0.0000 0.5000 Bi
0.5000 0.5000 0.5000 Bi
0.0000 0.5000 0.0000 P
0.5000 0.0000 0.0000 S